Pu2SeO, relaxed, DFT PBE; excess energy over the best structure of this formula in the dataset = 0.035 eV per atom; uncorrected formation energy = -1871 meV/atom; N(E_F) = 3.33 states/eV per atom; calculated volume = 360 Å³ per cell; magnetic moment = 2.998 μB per atom
1.0
5.9343 0.0000 0.0000
0.0000 5.9197 0.0000
-5.2227 0.0000 10.2370
Pu Se O
8 4 4
Direct
0.0812 0.2454 0.0894
0.0812 0.7546 0.5894
0.3180 0.2172 0.8386
0.3180 0.7828 0.3386
0.6820 0.2172 0.6614
0.6820 0.7828 0.1614
0.9188 0.2454 0.4106
0.9188 0.7546 0.9106
0.3837 0.2784 0.3755
0.3837 0.7216 0.8755
0.6163 0.2784 0.1245
0.6163 0.7216 0.6245
0.0216 0.1304 0.6222
0.0216 0.8696 0.1222
0.9784 0.1304 0.8778
0.9784 0.8696 0.3778